[1]
Computed, not measured: a relaxed CaLa12Y7 crystal at the PBE level of DFT.

Structure (POSCAR):
```
CaLa12Y7
1.0
-5.882 5.882 5.882
5.882 -5.882 5.882
5.882 5.882 -5.882
Ca La Y
1 12 7
Cartesian
0.000 0.000 0.000 Ca
5.882 3.203 -2.470 La
3.412 0.000 2.679 La
8.352 0.000 2.679 La
2.679 3.412 0.000 La
3.203 -2.470 5.882 La
5.882 3.203 2.470 La
0.000 2.679 3.412 La
2.679 8.352 0.000 La
3.203 2.470 5.882 La
-2.470 5.882 3.203 La
2.470 5.882 3.203 La
0.000 2.679 8.352 La
2.941 2.941 -2.941 Y
2.941 -2.941 2.941 Y
5.882 0.000 0.000 Y
-2.941 2.941 2.941 Y
0.000 5.882 0.000 Y
0.000 0.000 5.882 Y
2.941 2.941 2.941 Y
```

Computed properties:
As for the mass density: 4.75 g/cm3. The total moment comes out at 0.00 μB per cell. The formation energy is 0.6049 eV per atom.

***

[2]
Computed, not measured: a relaxed BeSi2B crystal at the PBE level of DFT.

Structure (POSCAR):
```
BeSi2B
1.0
-2.599 2.599 4.342
2.599 -2.599 4.342
2.599 2.599 -4.342
Be Si B
2 4 2
Cartesian
0.000 0.000 0.000 Be
0.000 2.599 2.171 Be
1.300 -1.058 3.257 Si
1.541 1.300 1.086 Si
1.300 3.658 -1.086 Si
1.058 1.300 5.428 Si
2.599 0.000 2.171 B
0.000 0.000 4.342 B
```

Computed properties:
As for the mass density: 2.15 g/cm3. The total moment comes out at 0.00 μB per cell. The calculation puts the polymorph energy (0 for the lowest one) at 0.000 eV/atom. The energy relative to the elements, uncorrected comes out at 0.5634 eV/atom.

***

no.,DOS(E_F) (states/eV/atom)
1,1.433
2,0.517